RbY2Ir | PBE-GGA | relaxed

The energy above the most stable polymorph in this dataset comes out at 0 meV/atom.

The space group is I-42d (No. 122) and the conventional cell measures 8.5058, 8.5058 and 11.9914 Å, with angles of 90.00, 90.00 and 90.00 degrees. The inequivalent atoms are Rb at (0.0000, 0.0000, 0.0000), Y at (0.0158, 0.7500, 0.6250) and Ir at (0.0000, 0.0000, 0.5000).

RbY2Ir | PBE-GGA | relaxed

The energy above the most stable polymorph in this dataset comes out at 8 meV/atom.

The space group is Fm-3m (No. 225) and the conventional cell measures 7.4079, 7.4079 and 7.4079 Å, with angles of 90.00, 90.00 and 90.00 degrees. The inequivalent atoms are Rb at (0.0000, 0.0000, 0.0000), Y at (0.2500, 0.2500, 0.2500) and Ir at (0.0000, 0.0000, 0.5000).

RbYIr2 | PBE-GGA | relaxed

The energy above the most stable polymorph in this dataset comes out at 0 meV/atom.

The space group is I-42d (No. 122) and the conventional cell measures 5.1064, 5.1064 and 18.9775 Å, with angles of 90.00, 90.00 and 90.00 degrees. The inequivalent atoms are Rb at (0.0000, 0.0000, 0.0000), Y at (0.0000, 0.0000, 0.5000) and Ir at (0.0373, 0.2500, 0.6250).

Rb2YIr | PBE-GGA | relaxed

The energy above the most stable polymorph in this dataset comes out at 0 meV/atom.

The space group is I-42d (No. 122) and the conventional cell measures 12.7398, 12.7398 and 5.1665 Å, with angles of 90.00, 90.00 and 90.00 degrees. The inequivalent atoms are Rb at (0.1030, 0.2500, 0.1250), Y at (0.0000, 0.0000, 0.5000) and Ir at (0.0000, 0.0000, 0.0000).

RbY2Ir2 | PBE-GGA | relaxed

The space group is P4/mbm (No. 127) and the conventional cell measures 8.5515, 8.5515 and 3.3088 Å, with angles of 90.00, 90.00 and 90.00 degrees. The inequivalent atoms are Rb at (0.0000, 0.0000, 0.0000), Y at (0.1419, 0.3581, 0.5000) and Ir at (0.1400, 0.6400, 0.0000).

RbYIr2 | PBE-GGA | relaxed

The energy above the most stable polymorph in this dataset comes out at 89 meV/atom.

The space group is Fm-3m (No. 225) and the conventional cell measures 7.0624, 7.0624 and 7.0624 Å, with angles of 90.00, 90.00 and 90.00 degrees. The inequivalent atoms are Rb at (0.0000, 0.0000, 0.0000), Y at (0.0000, 0.0000, 0.5000) and Ir at (0.2500, 0.2500, 0.2500).

RbZn3Ir | PBE-GGA | relaxed

The space group is Pm-3m (No. 221) and the conventional cell measures 4.9621, 4.9621 and 4.9621 Å, with angles of 90.00, 90.00 and 90.00 degrees. The inequivalent atoms are Rb at (0.0000, 0.0000, 0.0000), Zn at (0.0000, 0.5000, 0.5000) and Ir at (0.5000, 0.5000, 0.5000).

RbZr3Ir | PBE-GGA | relaxed

The energy above the most stable polymorph in this dataset comes out at 0 meV/atom.

The space group is Pm-3m (No. 221) and the conventional cell measures 5.2446, 5.2446 and 5.2446 Å, with angles of 90.00, 90.00 and 90.00 degrees. The inequivalent atoms are Rb at (0.0000, 0.0000, 0.0000), Zr at (0.0000, 0.5000, 0.5000) and Ir at (0.5000, 0.5000, 0.5000).

RbZrIr2 | PBE-GGA | relaxed

The energy above the most stable polymorph in this dataset comes out at 16 meV/atom.

The space group is I-42d (No. 122) and the conventional cell measures 7.7419, 7.7419 and 6.0158 Å, with angles of 90.00, 90.00 and 90.00 degrees. The inequivalent atoms are Rb at (0.0000, 0.0000, 0.0000), Zr at (0.0000, 0.0000, 0.5000) and Ir at (0.2080, 0.2500, 0.6250).

RbZr3Ir | PBE-GGA | relaxed

The energy above the most stable polymorph in this dataset comes out at 1812 meV/atom.

The space group is Pm-3m (No. 221) and the conventional cell measures 4.8970, 4.8970 and 4.8970 Å, with angles of 90.00, 90.00 and 90.00 degrees. The inequivalent atoms are Rb at (0.0000, 0.0000, 0.0000), Zr at (0.0000, 0.0000, 0.5000) and Ir at (0.5000, 0.5000, 0.5000).

Rb2ZrIr | PBE-GGA | relaxed

The energy above the most stable polymorph in this dataset comes out at 988 meV/atom.

The space group is Fm-3m (No. 225) and the conventional cell measures 7.6880, 7.6880 and 7.6880 Å, with angles of 90.00, 90.00 and 90.00 degrees. The inequivalent atoms are Rb at (0.2500, 0.2500, 0.2500), Zr at (0.0000, 0.0000, 0.0000) and Ir at (0.0000, 0.0000, 0.5000).

RbZrIr2 | PBE-GGA | relaxed

The energy above the most stable polymorph in this dataset comes out at 0 meV/atom.

The space group is Fm-3m (No. 225) and the conventional cell measures 6.8579, 6.8579 and 6.8579 Å, with angles of 90.00, 90.00 and 90.00 degrees. The inequivalent atoms are Rb at (0.0000, 0.0000, 0.0000), Zr at (0.0000, 0.0000, 0.5000) and Ir at (0.2500, 0.2500, 0.2500).

Summary of final energy in eV for the cell shown
-86.9; -86.7; -92.0; -60.6; -65.5; -90.5; -14.1; -33.4; -98.3; -24.3; -49.0; -98.6
(order as listed above)
Summary of E_form in eV/atom
0.259; 0.268; 0.541; 0.525; -0.228; 0.630; -0.092; 0.418; 0.664; 2.230; 1.776; 0.648
(order as listed above)